# GaTe2Au PBE relaxed
data_GaTe2Au
_cell_length_a 4.404
_cell_length_b 7.733
_cell_length_c 8.459
_cell_angle_alpha 114.47
_cell_angle_beta 98.73
_cell_angle_gamma 94.43
_space_group_name_H-M_alt 'P 1'
_space_group_IT_number 1
loop_
_space_group_symop_operation_xyz
'x,y,z'
loop_
_atom_site_label
_atom_site_type_symbol
_atom_site_fract_x
_atom_site_fract_y
_atom_site_fract_z
Ga1 Ga 0.000 0.000 0.000
Ga2 Ga 0.261 0.872 0.578
Te1 Te 0.047 0.180 0.347
Te2 Te 0.086 0.631 0.884
Te3 Te 0.468 0.158 0.897
Te4 Te 0.710 0.671 0.407
Au1 Au 0.516 0.986 0.379
Au2 Au 0.521 0.642 0.693
# Energy relative to the elements, uncorrected: -199 meV per atom
# DOS at the Fermi energy: 0.000 states/eV/cell
# Mass density: 6.77 Mg/m³



# GaTe2Au PBE relaxed
data_GaTe2Au
_cell_length_a 7.655
_cell_length_b 7.655
_cell_length_c 7.655
_cell_angle_alpha 34.37
_cell_angle_beta 34.37
_cell_angle_gamma 34.37
_space_group_name_H-M_alt 'P 1'
_space_group_IT_number 1
loop_
_space_group_symop_operation_xyz
'x,y,z'
loop_
_atom_site_label
_atom_site_type_symbol
_atom_site_fract_x
_atom_site_fract_y
_atom_site_fract_z
Ga1 Ga 0.000 0.000 0.000
Te1 Te 0.123 0.123 0.123
Te2 Te 0.618 0.618 0.618
Au1 Au 0.484 0.484 0.484
# Energy relative to the elements, uncorrected: -191 meV per atom
# DOS at the Fermi energy: 1.065 states/eV/cell
# Mass density: 6.80 Mg/m³



# GaTe2Au PBE relaxed
data_GaTe2Au
_cell_length_a 7.653
_cell_length_b 8.890
_cell_length_c 7.311
_cell_angle_alpha 90.00
_cell_angle_beta 90.00
_cell_angle_gamma 90.00
_space_group_name_H-M_alt 'P 1'
_space_group_IT_number 1
loop_
_space_group_symop_operation_xyz
'x,y,z'
loop_
_atom_site_label
_atom_site_type_symbol
_atom_site_fract_x
_atom_site_fract_y
_atom_site_fract_z
Ga1 Ga 0.076 0.127 0.000
Ga2 Ga 0.424 0.627 0.500
Ga3 Ga 0.576 0.373 0.000
Ga4 Ga 0.924 0.873 0.500
Te1 Te 0.070 0.124 0.630
Te2 Te 0.089 0.624 0.615
Te3 Te 0.411 0.124 0.115
Te4 Te 0.430 0.624 0.130
Te5 Te 0.570 0.376 0.630
Te6 Te 0.589 0.876 0.615
Te7 Te 0.911 0.376 0.115
Te8 Te 0.930 0.876 0.130
Au1 Au 0.099 0.626 0.990
Au2 Au 0.401 0.126 0.490
Au3 Au 0.599 0.874 0.990
Au4 Au 0.901 0.374 0.490
# Energy relative to the elements, uncorrected: -232 meV per atom
# DOS at the Fermi energy: 0.000 states/eV/cell
# Mass density: 6.97 Mg/m³



# GaTe2Au PBE relaxed
data_GaTe2Au
_cell_length_a 4.152
_cell_length_b 4.152
_cell_length_c 5.781
_cell_angle_alpha 90.00
_cell_angle_beta 90.00
_cell_angle_gamma 90.00
_space_group_name_H-M_alt 'P 1'
_space_group_IT_number 1
loop_
_space_group_symop_operation_xyz
'x,y,z'
loop_
_atom_site_label
_atom_site_type_symbol
_atom_site_fract_x
_atom_site_fract_y
_atom_site_fract_z
Ga1 Ga 0.000 0.000 0.000
Te1 Te 0.000 0.000 0.500
Te2 Te 0.500 0.500 0.000
Au1 Au 0.500 0.500 0.500
# Energy relative to the elements, uncorrected: -143 meV per atom
# DOS at the Fermi energy: 1.829 states/eV/cell
# Mass density: 8.70 Mg/m³



# GaTeAu2 PBE relaxed
data_GaTeAu2
_cell_length_a 6.519
_cell_length_b 6.519
_cell_length_c 6.519
_cell_angle_alpha 36.46
_cell_angle_beta 36.46
_cell_angle_gamma 36.46
_space_group_name_H-M_alt 'P 1'
_space_group_IT_number 1
loop_
_space_group_symop_operation_xyz
'x,y,z'
loop_
_atom_site_label
_atom_site_type_symbol
_atom_site_fract_x
_atom_site_fract_y
_atom_site_fract_z
Ga1 Ga 0.000 0.000 0.000
Te1 Te 0.500 0.500 0.500
Au1 Au 0.262 0.262 0.262
Au2 Au 0.738 0.738 0.738
# Energy relative to the elements, uncorrected: -78 meV per atom
# DOS at the Fermi energy: 1.935 states/eV/cell
# Mass density: 11.21 Mg/m³
# Offset from the most stable computed form: 0 meV/atom



# GaTe2Au PBE relaxed
data_GaTe2Au
_cell_length_a 7.536
_cell_length_b 4.417
_cell_length_c 7.765
_cell_angle_alpha 90.00
_cell_angle_beta 108.22
_cell_angle_gamma 90.00
_space_group_name_H-M_alt 'P 1'
_space_group_IT_number 1
loop_
_space_group_symop_operation_xyz
'x,y,z'
loop_
_atom_site_label
_atom_site_type_symbol
_atom_site_fract_x
_atom_site_fract_y
_atom_site_fract_z
Ga1 Ga 0.000 0.000 0.000
Ga2 Ga 0.493 0.500 0.008
Te1 Te 0.109 0.500 0.841
Te2 Te 0.171 0.000 0.356
Te3 Te 0.561 0.500 0.366
Te4 Te 0.616 0.000 0.863
Au1 Au 0.771 0.000 0.400
Au2 Au 0.999 0.500 0.423
# Energy relative to the elements, uncorrected: -192 meV per atom
# DOS at the Fermi energy: 1.667 states/eV/cell
# Mass density: 7.06 Mg/m³



# GaTe2Au PBE relaxed
data_GaTe2Au
_cell_length_a 7.174
_cell_length_b 7.174
_cell_length_c 7.174
_cell_angle_alpha 132.09
_cell_angle_beta 132.09
_cell_angle_gamma 70.09
_space_group_name_H-M_alt 'P 1'
_space_group_IT_number 1
loop_
_space_group_symop_operation_xyz
'x,y,z'
loop_
_atom_site_label
_atom_site_type_symbol
_atom_site_fract_x
_atom_site_fract_y
_atom_site_fract_z
Ga1 Ga 0.375 0.625 0.750
Ga2 Ga 0.625 0.375 0.250
Te1 Te 0.128 0.378 0.750
Te2 Te 0.378 0.128 0.250
Te3 Te 0.622 0.872 0.750
Te4 Te 0.872 0.622 0.250
Au1 Au 0.125 0.875 0.250
Au2 Au 0.875 0.125 0.750
# Energy relative to the elements, uncorrected: -138 meV per atom
# DOS at the Fermi energy: 3.424 states/eV/cell
# Mass density: 8.69 Mg/m³



# GaTe2Au PBE relaxed
data_GaTe2Au
_cell_length_a 8.504
_cell_length_b 8.504
_cell_length_c 15.360
_cell_angle_alpha 92.36
_cell_angle_beta 92.36
_cell_angle_gamma 113.39
_space_group_name_H-M_alt 'P 1'
_space_group_IT_number 1
loop_
_space_group_symop_operation_xyz
'x,y,z'
loop_
_atom_site_label
_atom_site_type_symbol
_atom_site_fract_x
_atom_site_fract_y
_atom_site_fract_z
Ga1 Ga 0.092 0.901 0.915
Ga2 Ga 0.099 0.908 0.585
Ga3 Ga 0.247 0.485 0.635
Ga4 Ga 0.485 0.247 0.135
Ga5 Ga 0.515 0.753 0.865
Ga6 Ga 0.753 0.515 0.365
Ga7 Ga 0.901 0.092 0.415
Ga8 Ga 0.908 0.099 0.085
Te1 Te 0.005 0.591 0.260
Te2 Te 0.016 0.984 0.750
Te3 Te 0.213 0.228 0.510
Te4 Te 0.213 0.655 0.941
Te5 Te 0.228 0.213 0.010
Te6 Te 0.345 0.787 0.559
Te7 Te 0.409 0.995 0.240
Te8 Te 0.495 0.505 0.250
Te9 Te 0.505 0.495 0.750
Te10 Te 0.591 0.005 0.760
Te11 Te 0.655 0.213 0.441
Te12 Te 0.772 0.787 0.990
Te13 Te 0.787 0.345 0.059
Te14 Te 0.787 0.772 0.490
Te15 Te 0.984 0.016 0.250
Te16 Te 0.995 0.409 0.740
Au1 Au 0.150 0.364 0.282
Au2 Au 0.199 0.673 0.405
Au3 Au 0.327 0.801 0.095
Au4 Au 0.364 0.150 0.782
Au5 Au 0.636 0.850 0.218
Au6 Au 0.673 0.199 0.905
Au7 Au 0.801 0.327 0.595
Au8 Au 0.850 0.636 0.718
# Energy relative to the elements, uncorrected: -161 meV per atom
# DOS at the Fermi energy: 0.101 states/eV/cell
# Mass density: 6.82 Mg/m³



# Ga2Te2Au PBE relaxed
data_Ga2Te2Au
_cell_length_a 8.504
_cell_length_b 8.504
_cell_length_c 8.504
_cell_angle_alpha 151.23
_cell_angle_beta 151.23
_cell_angle_gamma 41.14
_space_group_name_H-M_alt 'P 1'
_space_group_IT_number 1
loop_
_space_group_symop_operation_xyz
'x,y,z'
loop_
_atom_site_label
_atom_site_type_symbol
_atom_site_fract_x
_atom_site_fract_y
_atom_site_fract_z
Ga1 Ga 0.085 0.085 0.000
Ga2 Ga 0.915 0.915 0.000
Te1 Te 0.250 0.750 0.500
Te2 Te 0.750 0.250 0.500
Au1 Au 0.500 0.500 0.000
# Energy relative to the elements, uncorrected: 216 meV per atom
# DOS at the Fermi energy: 1.806 states/eV/cell
# Mass density: 6.91 Mg/m³
# Offset from the most stable computed form: 87 meV/atom



# Ga2TeAu2 PBE relaxed
data_Ga2TeAu2
_cell_length_a 7.556
_cell_length_b 7.556
_cell_length_c 3.744
_cell_angle_alpha 90.00
_cell_angle_beta 90.00
_cell_angle_gamma 90.00
_space_group_name_H-M_alt 'P 1'
_space_group_IT_number 1
loop_
_space_group_symop_operation_xyz
'x,y,z'
loop_
_atom_site_label
_atom_site_type_symbol
_atom_site_fract_x
_atom_site_fract_y
_atom_site_fract_z
Ga1 Ga 0.162 0.338 0.000
Ga2 Ga 0.338 0.838 0.000
Ga3 Ga 0.662 0.162 0.000
Ga4 Ga 0.838 0.662 0.000
Te1 Te 0.000 0.000 0.500
Te2 Te 0.500 0.500 0.500
Au1 Au 0.135 0.635 0.500
Au2 Au 0.365 0.135 0.500
Au3 Au 0.635 0.865 0.500
Au4 Au 0.865 0.365 0.500
# Energy relative to the elements, uncorrected: -42 meV per atom
# DOS at the Fermi energy: 3.496 states/eV/cell
# Mass density: 10.27 Mg/m³
# Offset from the most stable computed form: 34 meV/atom